No. 1
DFT (PBE) results for a geometry-optimized CrIr2Br structure.

Output
Formation energy (no corrections)   561 meV per atom

Lattice parameters (Å, degrees): 5.2505 5.2505 4.4589 97.83 97.83 32.13
Fractional coordinates of all 4 atoms:
Cr: 0.0000 0.0000 0.0000
Ir: 0.2840 0.2840 0.7771
Ir: 0.7160 0.7160 0.2229
Br: 0.5000 0.5000 0.5000

No. 2
DFT (PBE) results for a geometry-optimized TaMn2Sb structure.

Output
Formation energy (no corrections)   259 meV per atom

Lattice parameters (Å, degrees): 4.5175 4.5175 4.5175 60.00 60.00 60.00
Fractional coordinates of all 4 atoms:
Ta: 0.0000 0.0000 0.0000
Mn: 0.2500 0.2500 0.2500
Mn: 0.5000 0.5000 0.5000
Sb: 0.7500 0.7500 0.7500

No. 3
DFT (PBE) results for a geometry-optimized NpTc2Ge structure.

Output
ΔH_f (0 K)   35 meV per atom

Lattice parameters (Å, degrees): 3.2827 3.2827 6.1734 90.00 90.00 90.00
Fractional coordinates of all 4 atoms:
Np: 0.0000 0.0000 0.0000
Tc: 0.5000 0.5000 0.2643
Tc: 0.5000 0.5000 0.7357
Ge: 0.0000 0.0000 0.5000

No. 4
DFT (PBE) results for a geometry-optimized AlFe2H2 structure.

Output
Total energy   -5.294 eV/atom

Lattice parameters (Å, degrees): 5.4963 5.4963 2.8264 90.00 90.00 90.00
Fractional coordinates of all 10 atoms:
Al: 0.0000 0.0000 0.0000
Al: 0.5000 0.5000 0.0000
Fe: 0.1460 0.3540 0.5000
Fe: 0.3540 0.8540 0.5000
Fe: 0.6460 0.1460 0.5000
Fe: 0.8540 0.6460 0.5000
H: 0.2472 0.7472 0.0000
H: 0.2528 0.2472 0.0000
H: 0.7472 0.7528 0.0000
H: 0.7528 0.2528 0.0000

No. 5
DFT (PBE) results for a geometry-optimized NaSnCl2 structure.

Output
Formation energy (no corrections)   -885 meV per atom

Lattice parameters (Å, degrees): 6.6512 6.6512 6.6512 109.73 109.73 108.95
Fractional coordinates of all 8 atoms:
Na: 0.0000 0.0000 0.0000
Na: 0.7500 0.2500 0.5000
Sn: 0.2500 0.7500 0.5000
Sn: 0.5000 0.5000 0.0000
Cl: 0.1045 0.6250 0.9795
Cl: 0.3750 0.3545 0.4795
Cl: 0.6455 0.1250 0.0205
Cl: 0.8750 0.8955 0.5205

No. 6
DFT (PBE) results for a geometry-optimized BaErGe2Au2 structure.

Output
ΔH_f (0 K)   -742 meV per atom

Lattice parameters (Å, degrees): 4.5572 4.5572 8.2013 90.00 90.00 120.00
Fractional coordinates of all 6 atoms:
Ba: 0.0000 0.0000 0.0000
Er: 0.0000 0.0000 0.5000
Ge: 0.3333 0.6667 0.7130
Ge: 0.6667 0.3333 0.2870
Au: 0.3333 0.6667 0.3148
Au: 0.6667 0.3333 0.6852

So what do the calculations give for DOS at the Fermi energy? Going down the list: 3.97, 3.62, 3.36, 5.39, 0.45, 2.64 states/eV per cell.